Computed, not measured: a relaxed structure of ErTm12In3 at the PBE level of DFT.

Results
SG: P4/mmm (123)
Calculated formation energy, eV per atom: -0.185
Theoretical density, g/cm³: 9.4

Cell and atoms, written as CIF:
```
data_ErTm12In3
_chemical_formula_sum 'Er1 Tm12 In3'
_cell_length_a 4.803
_cell_length_b 4.803
_cell_length_c 19.461
_cell_angle_alpha 90.00
_cell_angle_beta 90.00
_cell_angle_gamma 90.00
_space_group_name_H-M_alt 'P 1'
_space_group_IT_number 1
loop_
_space_group_symop_operation_xyz
'x,y,z'
loop_
_atom_site_label
_atom_site_fract_x
_atom_site_fract_y
_atom_site_fract_z
_atom_site_occupancy
Er1 0.000 0.000 0.000 1
Tm1 0.000 0.500 0.130 1
Tm2 0.000 0.500 0.377 1
Tm3 0.000 0.500 0.623 1
Tm4 0.000 0.500 0.870 1
Tm5 0.500 0.000 0.130 1
Tm6 0.500 0.000 0.377 1
Tm7 0.500 0.000 0.623 1
Tm8 0.500 0.000 0.870 1
Tm9 0.500 0.500 0.000 1
Tm10 0.500 0.500 0.255 1
Tm11 0.500 0.500 0.500 1
Tm12 0.500 0.500 0.745 1
In1 0.000 0.000 0.256 1
In2 0.000 0.000 0.500 1
In3 0.000 0.000 0.744 1
```